Density functional theory data (PBE+U) for a relaxed MoW2O8 crystal.

* energy above the lowest structure with this stoichiometry: 332 meV per atom
* space-group type: P-1, No. 2

```
11
Lattice="3.911 0.000 0.000 -0.515 4.982 0.000 -0.881 -2.167 5.498" Properties=species:S:1:pos:R:3 pbc="T T T"
Mo 0.000 0.000 0.000
W 1.129 0.116 3.767
W 1.386 2.699 1.731
O -0.436 3.139 1.079
O 0.322 0.933 2.112
O 0.245 3.313 3.371
O 0.650 1.553 5.261
O 1.865 1.262 0.236
O 2.270 -0.499 2.127
O 2.193 1.881 3.386
O 2.951 -0.324 4.419
```